First-principles (PBE) data for a relaxed structure of LiMg2, as listed in Alexandria.

Geometry as POSCAR:
```
LiMg2
1.0
-1.1495 12.5458 5.8268
-6.6100 11.8294 3.0072
2.7269 -13.4830 -1.8552
Li Mg
4 8
Cartesian
-4.5223 7.2801 3.5141 Li
-3.2406 3.2538 2.0549 Li
-0.6409 2.0131 0.7296 Li
-7.1187 22.3620 8.1043 Li
-1.9447 -0.8170 0.5795 Mg
-1.8038 7.6754 4.9373 Mg
-1.9368 6.0840 2.2049 Mg
-5.8227 18.2911 6.6290 Mg
-5.8182 11.3510 4.9894 Mg
-0.4985 3.5750 3.4513 Mg
-4.5324 14.2378 5.1600 Mg
-3.2271 10.1374 3.6739 Mg
```

Values from the calculation:
Space-group type = I4_1/amd, No. 141
ΔH_f (0 K) = -7.1 kJ/mol of formula units
Theoretical density = 1.42 g/cm3
Size of the total moment = 0.00 μB per cell
DFT total energy = -20.708 eV for the cell shown
D(E_F) = 1.2 states/eV/f.u.